1.
A relaxed structure of La2PrThBi5, computed with PBE.

```
data_La2PrThBi5
_symmetry_space_group_name_H-M 'P 1'
_symmetry_Int_Tables_number 1
_symmetry_space_group_name_Hall 'P 1'
_cell_length_a 5.7453
_cell_length_b 5.7453
_cell_length_c 12.1575
_cell_angle_alpha 90.00
_cell_angle_beta 90.00
_cell_angle_gamma 90.00
loop_
_atom_site_label
_atom_site_type_symbol
_atom_site_fract_x
_atom_site_fract_y
_atom_site_fract_z
_atom_site_occupancy
La1 La 0.0000 0.0000 0.2214 1
La2 La 0.0000 0.0000 0.7786 1
Pr1 Pr 0.5000 0.5000 0.5000 1
Th1 Th 0.5000 0.5000 0.0000 1
Bi1 Bi 0.0000 0.0000 0.5000 1
Bi2 Bi 0.0000 0.5000 0.0000 1
Bi3 Bi 0.5000 0.0000 0.0000 1
Bi4 Bi 0.5000 0.5000 0.2535 1
Bi5 Bi 0.5000 0.5000 0.7465 1
```

## Properties
* formation enthalpy at 0 K: -0.12 eV/atom

2.
A relaxed structure of LaPrTlBi, computed with PBE.

```
data_LaPrTlBi
_symmetry_space_group_name_H-M 'P 1'
_symmetry_Int_Tables_number 1
_symmetry_space_group_name_Hall 'P 1'
_cell_length_a 7.9856
_cell_length_b 7.9856
_cell_length_c 7.9856
_cell_angle_alpha 90.00
_cell_angle_beta 90.00
_cell_angle_gamma 90.00
loop_
_atom_site_label
_atom_site_type_symbol
_atom_site_fract_x
_atom_site_fract_y
_atom_site_fract_z
_atom_site_occupancy
La1 La 0.0000 0.0000 0.0000 1
La2 La 0.0000 0.5000 0.5000 1
La3 La 0.5000 0.0000 0.5000 1
La4 La 0.5000 0.5000 0.0000 1
Pr1 Pr 0.0000 0.0000 0.5000 1
Pr2 Pr 0.0000 0.5000 0.0000 1
Pr3 Pr 0.5000 0.0000 0.0000 1
Pr4 Pr 0.5000 0.5000 0.5000 1
Tl1 Tl 0.2500 0.2500 0.7500 1
Tl2 Tl 0.2500 0.7500 0.2500 1
Tl3 Tl 0.7500 0.2500 0.2500 1
Tl4 Tl 0.7500 0.7500 0.7500 1
Bi1 Bi 0.2500 0.2500 0.2500 1
Bi2 Bi 0.2500 0.7500 0.7500 1
Bi3 Bi 0.7500 0.2500 0.7500 1
Bi4 Bi 0.7500 0.7500 0.2500 1
```

## Properties
* formation enthalpy at 0 K: -0.52 eV/atom

3.
A relaxed structure of LaPrTm2Bi4, computed with PBE.

```
data_LaPrTm2Bi4
_symmetry_space_group_name_H-M 'P 1'
_symmetry_Int_Tables_number 1
_symmetry_space_group_name_Hall 'P 1'
_cell_length_a 7.8650
_cell_length_b 4.5664
_cell_length_c 7.9015
_cell_angle_alpha 90.00
_cell_angle_beta 109.56
_cell_angle_gamma 90.00
loop_
_atom_site_label
_atom_site_type_symbol
_atom_site_fract_x
_atom_site_fract_y
_atom_site_fract_z
_atom_site_occupancy
La1 La 0.0000 0.0000 0.0000 1
Pr1 Pr 0.0000 0.5000 0.5000 1
Tm1 Tm 0.5000 0.0000 0.5000 1
Tm2 Tm 0.5000 0.5000 0.0000 1
Bi1 Bi 0.2647 0.0000 0.7539 1
Bi2 Bi 0.2654 0.5000 0.2562 1
Bi3 Bi 0.7353 0.0000 0.2461 1
Bi4 Bi 0.7346 0.5000 0.7438 1
```

## Properties
* formation enthalpy at 0 K: -0.89 eV/atom